1.
First-principles (GGA-PBE) data for LiCa2Sm after structural relaxation, as listed in Alexandria.

Cell lengths 3.5883, 3.5883, 12.8684 Å; angles 81.99, 81.99, 60.00 degrees
Element x y z (fractional)
Sm1 0.0000 0.0000 0.0000
Ca1 0.0923 0.0923 0.7230
Ca2 0.9077 0.9077 0.2770
Li1 0.5000 0.5000 0.5000

Summary:
- Final energy: -2.417 eV/atom
- Polymorph energy (0 for the lowest one): 153.9 meV per atom
- Volume: 141.6 Å³/cell
- Magnetic moment: 0.00 μB per formula unit

=====

2.
First-principles (GGA-PBE) data for Cs2CdIBr6 after structural relaxation, as listed in Alexandria.

Cell lengths 8.5433, 8.5433, 8.3350 Å; angles 59.17, 59.17, 90.00 degrees
Element x y z (fractional)
Br1 0.2784 0.7216 0.0000
Br2 0.7660 0.7660 0.4681
Br3 0.7216 0.7216 0.0000
Br4 0.2784 0.2784 0.0000
Br5 0.2340 0.2340 0.5319
Br6 0.7216 0.2784 0.0000
Cs1 0.2500 0.7500 0.5000
Cs2 0.7500 0.2500 0.5000
Cd1 0.5000 0.5000 0.0000
I1 0.0000 0.0000 0.0000

Summary:
- Final energy: -2.356 eV/atom
- Formation energy without anion corrections: -935.5 meV/atom
- Volume: 419.1 Å³/cell
- Magnetic moment: 0.00 μB per formula unit

=====

3.
First-principles (GGA-PBE) data for AlSiP4 after structural relaxation, as listed in Alexandria.

Cell lengths 5.1058, 5.1058, 5.1058 Å; angles 60.00, 60.00, 60.00 degrees
Element x y z (fractional)
P1 0.8823 0.3726 0.3726
P2 0.3726 0.3726 0.8823
P3 0.3726 0.3726 0.3726
P4 0.3726 0.8823 0.3726
Al1 0.0000 0.0000 0.0000
Si1 0.7500 0.7500 0.7500

Summary:
- Final energy: -4.438 eV/atom
- Formation energy without anion corrections: 696.0 meV/atom
- Volume: 94.1 Å³/cell
- Magnetic moment: 0.00 μB per formula unit

=====

What did the second record say?
First-principles (GGA-PBE) data for Cs2CdIBr6 after structural relaxation, as listed in Alexandria.

Cell lengths 8.5433, 8.5433, 8.3350 Å; angles 59.17, 59.17, 90.00 degrees
Element x y z (fractional)
Br1 0.2784 0.7216 0.0000
Br2 0.7660 0.7660 0.4681
Br3 0.7216 0.7216 0.0000
Br4 0.2784 0.2784 0.0000
Br5 0.2340 0.2340 0.5319
Br6 0.7216 0.2784 0.0000
Cs1 0.2500 0.7500 0.5000
Cs2 0.7500 0.2500 0.5000
Cd1 0.5000 0.5000 0.0000
I1 0.0000 0.0000 0.0000

Summary:
- Final energy: -2.356 eV/atom
- Formation energy without anion corrections: -935.5 meV/atom
- Volume: 419.1 Å³/cell
- Magnetic moment: 0.00 μB per formula unit

=====

Question: Which value of magnetic moment does entry 1 give?
Answer: 0.00 μB per formula unit